1.
Entry from Alexandria: Sm2GaNi12H3 after structural relaxation (PBE).

- DOS at the Fermi energy (states/eV/atom) = 0.751
- E_tot (eV/atom) = -5.198

Cell lengths 6.9417, 6.9417, 6.9417 Å; angles 56.14, 56.14, 56.14 degrees
Fractional coordinates of all 18 atoms:
Ni 0.7209 0.7209 0.0961
Ni 0.5481 0.1355 0.1355
Ni 0.1355 0.1355 0.5481
Ni 0.4519 0.8645 0.8645
Ni 0.8645 0.8645 0.4519
Ni 0.8645 0.4519 0.8645
Ni 0.9039 0.2791 0.2791
Ni 0.0961 0.7209 0.7209
Ni 0.2791 0.2791 0.9039
Ni 0.1355 0.5481 0.1355
Ni 0.2791 0.9039 0.2791
Ni 0.7209 0.0961 0.7209
H 0.0000 0.0000 0.5000
H 0.0000 0.5000 0.0000
H 0.5000 0.0000 0.0000
Sm 0.4005 0.4005 0.4005
Sm 0.5995 0.5995 0.5995
Ga 0.0000 0.0000 0.0000

---

2.
Entry from Alexandria: Sc8In2Ir after structural relaxation (PBE).

- DOS at the Fermi energy (states/eV/atom) = 1.097
- ΔH_f (0 K) (eV per atom) = -0.40

Cell lengths 5.0440, 6.6265, 8.5130 Å; angles 112.84, 107.23, 90.00 degrees
Fractional coordinates of all 11 atoms:
Sc 0.8149 0.8130 0.6298
Sc 0.6301 0.8684 0.2602
Sc 0.0004 0.7563 0.0007
Sc 0.9996 0.2437 0.9993
Sc 0.1851 0.1870 0.3702
Sc 0.6287 0.3931 0.2574
Sc 0.3713 0.6069 0.7426
Sc 0.3699 0.1316 0.7398
In 0.1859 0.6860 0.3719
In 0.8141 0.3140 0.6281
Ir 0.5000 0.0000 0.0000

---

3.
Entry from Alexandria: PrNpIrRh after structural relaxation (PBE).

- DOS at the Fermi energy (states/eV/atom) = 1.777
- ΔH_f (0 K) (eV per atom) = -0.34

Cell lengths 4.9361, 4.9361, 4.9361 Å; angles 60.00, 60.00, 60.00 degrees
Fractional coordinates of all 4 atoms:
Pr 0.2500 0.2500 0.2500
Np 0.7500 0.7500 0.7500
Ir 0.5000 0.5000 0.5000
Rh 0.0000 0.0000 0.0000

---

4.
Entry from Alexandria: Ba6NaTl3 after structural relaxation (PBE).

- DOS at the Fermi energy (states/eV/atom) = 0.959
- ΔH_f (0 K) (eV per atom) = -0.14
- E above lowest polymorph (meV/atom) = 103

Cell lengths 10.2344, 8.0976, 11.6908 Å; angles 90.00, 98.51, 90.00 degrees
Fractional coordinates of all 20 atoms:
Ba 0.7603 0.3722 0.2280
Ba 0.6446 0.1309 0.9066
Ba 0.1446 0.3691 0.4066
Ba 0.3554 0.8691 0.0934
Ba 0.7397 0.8722 0.2720
Ba 0.6987 0.1200 0.5772
Ba 0.3013 0.8800 0.4228
Ba 0.2397 0.6278 0.7720
Ba 0.8013 0.6200 0.9228
Ba 0.2603 0.1278 0.7280
Ba 0.1987 0.3800 0.0772
Ba 0.8554 0.6309 0.5934
Tl 0.5000 0.5000 0.0000
Tl 0.0000 0.0000 0.5000
Tl 0.4629 0.2084 0.2943
Tl 0.0371 0.7084 0.2057
Tl 0.5371 0.7916 0.7057
Tl 0.9629 0.2916 0.7943
Na 0.5000 0.5000 0.5000
Na 0.0000 0.0000 0.0000

---

5.
Entry from Alexandria: La6TmMg5 after structural relaxation (PBE).

- DOS at the Fermi energy (states/eV/atom) = 1.174
- ΔH_f (0 K) (eV per atom) = -0.07

Cell lengths 5.6363, 7.9202, 8.9550 Å; angles 90.00, 108.45, 90.00 degrees
Fractional coordinates of all 12 atoms:
Tm 0.0000 0.0000 0.0000
La 0.8333 0.7477 0.6622
La 0.5000 0.2596 0.0000
La 0.1667 0.2523 0.3378
La 0.8333 0.2523 0.6622
La 0.5000 0.7404 0.0000
La 0.1667 0.7477 0.3378
Mg 0.6591 0.0000 0.3231
Mg 0.3409 0.0000 0.6769
Mg 0.0000 0.5000 0.0000
Mg 0.3354 0.5000 0.6653
Mg 0.6646 0.5000 0.3347

---

6.
Entry from Alexandria: DyTmGeIr after structural relaxation (PBE).

- DOS at the Fermi energy (states/eV/atom) = 0.724
- ΔH_f (0 K) (eV per atom) = -0.71
- E above lowest polymorph (meV/atom) = 156

Cell lengths 4.9243, 4.9243, 4.9243 Å; angles 60.00, 60.00, 60.00 degrees
Fractional coordinates of all 4 atoms:
Tm 0.5000 0.5000 0.5000
Ge 0.2500 0.2500 0.2500
Ir 0.7500 0.7500 0.7500
Dy 0.0000 0.0000 0.0000

---

7.
Entry from Alexandria: CrMo2N after structural relaxation (PBE).

- DOS at the Fermi energy (states/eV/atom) = 0.748
- raw formation energy (meV/atom) = -37

Cell lengths 2.7963, 5.2806, 6.7306 Å; angles 101.52, 90.00, 90.00 degrees
Fractional coordinates of all 8 atoms:
Cr 0.2500 0.4086 0.1591
Cr 0.7500 0.5914 0.8409
Mo 0.7500 0.2531 0.4804
Mo 0.2500 0.7469 0.5196
Mo 0.2500 0.9188 0.1592
Mo 0.7500 0.0812 0.8408
N 0.2500 0.3349 0.7350
N 0.7500 0.6651 0.2650

---

8.
Entry from Alexandria: CrReOs2 after structural relaxation (PBE).

- DOS at the Fermi energy (states/eV/atom) = 1.104
- ΔH_f (0 K) (eV per atom) = 0.44
- E above lowest polymorph (meV/atom) = 362

Cell lengths 2.6665, 2.6665, 8.8680 Å; angles 90.00, 90.00, 115.59 degrees
Fractional coordinates of all 4 atoms:
Os 0.0000 0.0000 0.9873
Os 0.0000 0.0000 0.5127
Cr 0.5000 0.5000 0.7500
Re 0.5000 0.5000 0.2500

---

9.
Entry from Alexandria: Na2GaCl after structural relaxation (PBE).

- DOS at the Fermi energy (states/eV/atom) = 0.031
- raw formation energy (meV/atom) = -566
- E above lowest polymorph (meV/atom) = 0

Cell lengths 7.9033, 7.9033, 6.5815 Å; angles 53.10, 53.10, 90.00 degrees
Fractional coordinates of all 8 atoms:
Na 0.3750 0.4206 0.7500
Na 0.5794 0.1250 0.2500
Na 0.1706 0.6250 0.2500
Na 0.8750 0.8294 0.7500
Ga 0.0000 0.0000 0.0000
Ga 0.7500 0.2500 0.5000
Cl 0.5000 0.5000 0.0000
Cl 0.2500 0.7500 0.5000

---

10.
Entry from Alexandria: Pm3Cu4Si4 after structural relaxation (PBE).

- DOS at the Fermi energy (states/eV/atom) = 0.253
- raw formation energy (meV/atom) = -593

Cell lengths 4.2398, 6.6282, 8.0452 Å; angles 114.33, 105.28, 90.00 degrees
Fractional coordinates of all 11 atoms:
Cu 0.6663 0.4787 0.3326
Cu 0.3337 0.5213 0.6674
Cu 0.3337 0.1461 0.6674
Cu 0.6663 0.8539 0.3326
Si 0.2157 0.7157 0.4315
Si 0.7843 0.2843 0.5685
Si 0.5000 0.8178 0.0000
Si 0.5000 0.1822 0.0000
Pm 0.0000 0.5000 0.0000
Pm 0.1318 0.1318 0.2636
Pm 0.8682 0.8682 0.7364

---

11.
Entry from Alexandria: CsZnBrCl2 after structural relaxation (PBE).

- raw formation energy (meV/atom) = -1324

Cell lengths 5.1133, 5.1133, 5.3198 Å; angles 90.00, 90.00, 90.00 degrees
Fractional coordinates of all 5 atoms:
Cl 0.0000 0.5000 0.0000
Cl 0.5000 0.0000 0.0000
Cs 0.5000 0.5000 0.5000
Br 0.0000 0.0000 0.5000
Zn 0.0000 0.0000 0.0000

---

12.
Entry from Alexandria: Cd2In2W after structural relaxation (PBE).

- DOS at the Fermi energy (states/eV/atom) = 0.758
- ΔH_f (0 K) (eV per atom) = 0.78
- E above lowest polymorph (meV/atom) = 0

Cell lengths 7.3937, 7.3937, 4.0750 Å; angles 90.00, 90.00, 90.00 degrees
Fractional coordinates of all 10 atoms:
In 0.8543 0.6457 0.0000
In 0.1457 0.3543 0.0000
In 0.6457 0.1457 0.0000
In 0.3543 0.8543 0.0000
W 0.5000 0.5000 0.0000
W 0.0000 0.0000 0.0000
Cd 0.6630 0.8370 0.5000
Cd 0.1630 0.6630 0.5000
Cd 0.8370 0.3370 0.5000
Cd 0.3370 0.1630 0.5000

---

13.
Entry from Alexandria: MgZnPt2 after structural relaxation (PBE).

- DOS at the Fermi energy (states/eV/atom) = 0.238
- ΔH_f (0 K) (eV per atom) = -0.33

Cell lengths 9.2013, 9.2013, 9.2013 Å; angles 17.81, 17.81, 17.81 degrees
Fractional coordinates of all 4 atoms:
Zn 0.5029 0.5029 0.5029
Pt 0.2460 0.2460 0.2460
Pt 0.0033 0.0033 0.0033
Mg 0.7478 0.7478 0.7478

---

14.
Entry from Alexandria: Y2OsO after structural relaxation (PBE).

- DOS at the Fermi energy (states/eV/atom) = 0.317
- raw formation energy (meV/atom) = -1073

Cell lengths 3.2107, 3.2107, 6.7856 Å; angles 90.00, 90.00, 90.00 degrees
Fractional coordinates of all 4 atoms:
Y 0.0000 0.0000 0.2632
Y 0.0000 0.0000 0.7368
O 0.5000 0.5000 0.5000
Os 0.5000 0.5000 0.0000

---

15.
Entry from Alexandria: BaTl2In2 after structural relaxation (PBE).

- DOS at the Fermi energy (states/eV/atom) = 0.768
- ΔH_f (0 K) (eV per atom) = -0.16
- E above lowest polymorph (meV/atom) = 126

Cell lengths 9.0979, 9.0979, 3.9184 Å; angles 90.00, 90.00, 90.00 degrees
Fractional coordinates of all 10 atoms:
In 0.6214 0.1214 0.0000
In 0.3786 0.8786 0.0000
In 0.1214 0.3786 0.0000
In 0.8786 0.6214 0.0000
Ba 0.5000 0.5000 0.0000
Ba 0.0000 0.0000 0.0000
Tl 0.8278 0.3278 0.5000
Tl 0.1722 0.6722 0.5000
Tl 0.6722 0.8278 0.5000
Tl 0.3278 0.1722 0.5000

---

16.
Entry from Alexandria: Pm3Pb5O12 after structural relaxation (PBE).

- DOS at the Fermi energy (states/eV/atom) = 0.399
- raw formation energy (meV/atom) = -1727

Cell lengths 11.9994, 11.9994, 11.9994 Å; angles 109.47, 109.47, 109.47 degrees
Fractional coordinates of all 80 atoms:
O 0.8323 0.9162 0.0515
O 0.7192 0.1353 0.0515
O 0.2808 0.8647 0.9485
O 0.8647 0.5839 0.9162
O 0.9162 0.8323 0.5515
O 0.5839 0.8647 0.4162
O 0.0515 0.6353 0.7192
O 0.1353 0.4161 0.0838
O 0.0838 0.9161 0.1353
O 0.1677 0.0839 0.7192
O 0.9485 0.3647 0.2808
O 0.9161 0.0838 0.6353
O 0.5839 0.7192 0.6677
O 0.4162 0.0515 0.3323
O 0.4161 0.1353 0.5838
O 0.0839 0.1677 0.2192
O 0.9161 0.8323 0.7808
O 0.5838 0.9485 0.6677
O 0.6353 0.0515 0.2192
O 0.2192 0.6677 0.0839
O 0.5515 0.2192 0.1353
O 0.7192 0.5839 0.1677
O 0.8647 0.2808 0.4485
O 0.7808 0.3323 0.9161
O 0.9485 0.5838 0.1677
O 0.4161 0.2808 0.3323
O 0.6677 0.2192 0.5839
O 0.3647 0.4162 0.0839
O 0.4162 0.3647 0.5839
O 0.5515 0.3323 0.9162
O 0.0839 0.9162 0.3647
O 0.8323 0.9161 0.2808
O 0.7808 0.4485 0.3647
O 0.6677 0.4485 0.5838
O 0.3647 0.9485 0.7808
O 0.5838 0.6353 0.4161
O 0.1353 0.7192 0.5515
O 0.6353 0.5838 0.9161
O 0.2192 0.5515 0.6353
O 0.4485 0.7808 0.8647
O 0.1677 0.0838 0.9485
O 0.4485 0.6677 0.0838
O 0.9162 0.0839 0.8647
O 0.0515 0.4162 0.8323
O 0.3323 0.5515 0.4162
O 0.0838 0.1677 0.4485
O 0.2808 0.4161 0.8323
O 0.3323 0.7808 0.4161
Pb 0.2500 0.3750 0.6250
Pb 0.0000 0.0000 0.5000
Pb 0.1250 0.3750 0.2500
Pb 0.2500 0.8750 0.1250
Pb 0.5000 0.5000 0.0000
Pb 0.8750 0.2500 0.6250
Pb 0.5000 0.0000 0.5000
Pb 0.3750 0.1250 0.7500
Pb 0.1250 0.7500 0.3750
Pb 0.5000 0.5000 0.5000
Pb 0.8750 0.6250 0.7500
Pb 0.0000 0.5000 0.0000
Pb 0.6250 0.7500 0.8750
Pb 0.0000 0.0000 0.0000
Pb 0.5000 0.0000 0.0000
Pb 0.6250 0.8750 0.2500
Pb 0.3750 0.2500 0.1250
Pb 0.7500 0.1250 0.8750
Pb 0.0000 0.5000 0.5000
Pb 0.7500 0.6250 0.3750
Pm 0.3750 0.7500 0.6250
Pm 0.2500 0.6250 0.8750
Pm 0.7500 0.3750 0.1250
Pm 0.1250 0.8750 0.7500
Pm 0.1250 0.2500 0.8750
Pm 0.6250 0.2500 0.3750
Pm 0.2500 0.1250 0.3750
Pm 0.3750 0.6250 0.2500
Pm 0.8750 0.7500 0.1250
Pm 0.7500 0.8750 0.6250
Pm 0.8750 0.1250 0.2500
Pm 0.6250 0.3750 0.7500

---

17.
Entry from Alexandria: Ac2ZnCuS5 after structural relaxation (PBE).

- DOS at the Fermi energy (states/eV/atom) = 0.296
- raw formation energy (meV/atom) = -1342

Cell lengths 4.1314, 8.6425, 12.0554 Å; angles 90.00, 90.00, 103.83 degrees
Fractional coordinates of all 18 atoms:
Ac 0.8886 0.7773 0.1884
Ac 0.8605 0.7211 0.8100
Ac 0.1114 0.2227 0.6884
Ac 0.1395 0.2789 0.3100
S 0.0671 0.1342 0.0479
S 0.5096 0.0192 0.2857
S 0.4904 0.9808 0.7857
S 0.6858 0.3716 0.8348
S 0.9329 0.8658 0.5479
S 0.3454 0.6907 0.0033
S 0.7125 0.4249 0.1503
S 0.3142 0.6284 0.3348
S 0.6546 0.3093 0.5033
S 0.2875 0.5751 0.6503
Zn 0.5709 0.1419 0.9488
Zn 0.4291 0.8581 0.4488
Cu 0.2099 0.4198 0.0546
Cu 0.7901 0.5802 0.5546

---

18.
Entry from Alexandria: Tl4SnHg2 after structural relaxation (PBE).

- DOS at the Fermi energy (states/eV/atom) = 0.365
- ΔH_f (0 K) (eV per atom) = 0.20
- E above lowest polymorph (meV/atom) = 179

Cell lengths 5.7838, 5.7838, 9.0522 Å; angles 71.37, 71.37, 90.00 degrees
Fractional coordinates of all 7 atoms:
Hg 0.6121 0.6121 0.7759
Hg 0.3879 0.3879 0.2241
Sn 0.0000 0.0000 0.0000
Tl 0.5000 0.0000 0.0000
Tl 0.8038 0.8038 0.3925
Tl 0.1962 0.1962 0.6075
Tl 0.0000 0.5000 0.0000

---

19.
Entry from Alexandria: Sc2CuPtS after structural relaxation (PBE).

- DOS at the Fermi energy (states/eV/atom) = 0.713
- raw formation energy (meV/atom) = -402

Cell lengths 4.7604, 4.4795, 4.7604 Å; angles 90.00, 90.00, 90.00 degrees
Fractional coordinates of all 5 atoms:
Cu 0.5000 0.5000 0.5000
S 0.0000 0.0000 0.0000
Sc 0.5000 0.0000 0.0000
Sc 0.0000 0.0000 0.5000
Pt 0.0000 0.5000 0.0000

---

20.
Entry from Alexandria: GaCuAg after structural relaxation (PBE).

- DOS at the Fermi energy (states/eV/atom) = 0.408
- ΔH_f (0 K) (eV per atom) = 0.01
- E above lowest polymorph (meV/atom) = 44

Cell lengths 3.1868, 3.1868, 5.0676 Å; angles 108.33, 108.33, 90.00 degrees
Fractional coordinates of all 3 atoms:
Ag 0.9527 0.9527 0.9054
Cu 0.6286 0.6286 0.2571
Ga 0.2687 0.2687 0.5375